Density functional theory data (PBE+U) for an optimized crystal structure of FeSeO3.

Calculated values
DOS(E_F)   1.8 states/eV per cell
V   55.5 Å³/cell
Space group   Pm-3m (221)
E   -24.88 eV/f.u.

a = 3.8142 Å, b = 3.8142 Å, c = 3.8142 Å
α = 90.00°, β = 90.00°, γ = 90.00°
Closest atoms and distances in Å follow each position.
Fractional coordinates of all 5 atoms:
O 0.5000 0.0000 0.0000  2 Fe 1.91
O 0.0000 0.5000 0.0000  2 Fe 1.91
Se 0.5000 0.5000 0.5000  12 O 2.70
O 0.0000 0.0000 0.5000  2 Fe 1.91
Fe 0.0000 0.0000 0.0000  6 O 1.91